# 1
Below is crystalline Nd8Ir3Br4O at its relaxed geometry, with properties calculated at the PBE-GGA level.

Cell lengths 8.173, 8.173, 9.088 Å; angles 116.80, 116.80, 59.90 degrees
Sites, in units of the cell vectors:
Nd: 0.224 0.742 0.689
Nd: 0.226 0.226 0.691
Nd: 0.258 0.776 0.311
Nd: 0.268 0.268 0.303
Nd: 0.732 0.732 0.697
Nd: 0.742 0.224 0.689
Nd: 0.774 0.774 0.309
Nd: 0.776 0.258 0.311
Ir: 0.000 0.500 0.500
Ir: 0.500 0.000 0.500
Ir: 0.500 0.500 0.500
Br: 0.000 0.000 0.000
Br: 0.000 0.500 0.000
Br: 0.500 0.000 0.000
Br: 0.500 0.500 0.000
O: 0.000 0.000 0.500

Output
formation energy from raw total energies	-1249	meV/atom
mass density	7.6	g/cm³
raw total energy	-96.36	eV per cell
space group	C2/m, No. 12

***

# 2
Below is crystalline CsScV2Cd at its relaxed geometry, with properties calculated at the PBE-GGA level.

Cell lengths 5.104, 5.104, 6.020 Å; angles 90.00, 90.00, 90.00 degrees
Sites, in units of the cell vectors:
Cs: 0.000 0.000 0.000
Sc: 0.000 0.000 0.500
V: 0.000 0.500 0.500
V: 0.500 0.000 0.500
Cd: 0.500 0.500 0.000

Output
mass density	4.2	g/cm³
raw total energy	-18.16	eV per cell
energy of formation	1635	meV/atom
space group	P4/mmm, No. 123

***

# 3
Below is crystalline LiCe3Np3Se8 at its relaxed geometry, with properties calculated at the PBE-GGA level.

Cell lengths 8.236, 8.240, 8.251 Å; angles 60.14, 60.06, 60.09 degrees
Sites, in units of the cell vectors:
Li: 0.000 0.000 0.000
Ce: 0.000 0.000 0.500
Ce: 0.000 0.500 0.000
Ce: 0.500 0.000 0.000
Np: 0.000 0.500 0.500
Np: 0.500 0.000 0.500
Np: 0.500 0.500 0.000
Se: 0.246 0.246 0.750
Se: 0.247 0.748 0.247
Se: 0.249 0.754 0.753
Se: 0.252 0.253 0.252
Se: 0.748 0.747 0.748
Se: 0.751 0.246 0.247
Se: 0.753 0.252 0.753
Se: 0.754 0.754 0.250

Output
formation energy from raw total energies	-1401	meV/atom
mass density	7.4	g/cm³
raw total energy	-107.43	eV per cell
space group	P-1, No. 2

***

# 4
Below is crystalline AcNd2Ge2 at its relaxed geometry, with properties calculated at the PBE-GGA level.

Cell lengths 8.135, 8.135, 4.311 Å; angles 90.00, 90.00, 90.00 degrees
Sites, in units of the cell vectors:
Ac: 0.000 0.000 0.000
Ac: 0.500 0.500 0.000
Nd: 0.172 0.328 0.500
Nd: 0.328 0.828 0.500
Nd: 0.672 0.172 0.500
Nd: 0.828 0.672 0.500
Ge: 0.116 0.616 0.000
Ge: 0.384 0.116 0.000
Ge: 0.616 0.884 0.000
Ge: 0.884 0.384 0.000

Output
mass density	7.7	g/cm³
raw total energy	-52.30	eV per cell
energy of formation	-655	meV/atom
offset from the most stable computed form	0.0	meV per atom
space group	P4/mbm, No. 127

***

# 5
Below is crystalline NaU3Pa2Se6 at its relaxed geometry, with properties calculated at the PBE-GGA level.

Cell lengths 9.196, 9.196, 8.371 Å; angles 105.44, 105.44, 24.90 degrees
Sites, in units of the cell vectors:
Na: 0.000 0.000 0.000
U: 0.000 0.000 0.500
U: 0.333 0.333 0.163
U: 0.667 0.667 0.837
Pa: 0.330 0.330 0.655
Pa: 0.670 0.670 0.345
Se: 0.164 0.164 0.088
Se: 0.164 0.164 0.590
Se: 0.498 0.498 0.751
Se: 0.502 0.502 0.249
Se: 0.836 0.836 0.410
Se: 0.836 0.836 0.912

Output
formation energy from raw total energies	-1118	meV/atom
mass density	9.7	g/cm³
raw total energy	-88.50	eV per cell
space group	C2/m, No. 12

***

# 6
Below is crystalline Ce5DyGa6 at its relaxed geometry, with properties calculated at the PBE-GGA level.

Cell lengths 8.118, 8.118, 7.278 Å; angles 90.00, 90.00, 143.23 degrees
Sites, in units of the cell vectors:
Ce: 0.000 0.000 0.000
Ce: 0.327 0.673 0.000
Ce: 0.333 0.667 0.500
Ce: 0.667 0.333 0.500
Ce: 0.673 0.327 0.000
Dy: 0.000 0.000 0.500
Ga: 0.163 0.837 0.255
Ga: 0.163 0.837 0.745
Ga: 0.500 0.500 0.252
Ga: 0.500 0.500 0.748
Ga: 0.837 0.163 0.255
Ga: 0.837 0.163 0.745

Output
mass density	7.4	g/cm³
raw total energy	-58.09	eV per cell
energy of formation	-472	meV/atom
space group	Cmmm, No. 65

***

# 7
Below is crystalline SrZnOs4 at its relaxed geometry, with properties calculated at the PBE-GGA level.

Cell lengths 5.322, 5.322, 5.322 Å; angles 60.00, 60.00, 60.00 degrees
Sites, in units of the cell vectors:
Sr: 0.000 0.000 0.000
Zn: 0.750 0.750 0.750
Os: 0.376 0.376 0.376
Os: 0.376 0.376 0.873
Os: 0.376 0.873 0.376
Os: 0.873 0.376 0.376

Output
mass density	14.2	g/cm³
raw total energy	-44.28	eV per cell
energy of formation	598	meV/atom
space group	F-43m, No. 216

***

# 8
Below is crystalline GaPdRh at its relaxed geometry, with properties calculated at the PBE-GGA level.

Cell lengths 4.114, 4.114, 4.114 Å; angles 60.00, 60.00, 60.00 degrees
Sites, in units of the cell vectors:
Ga: 0.000 0.000 0.000
Pd: 0.250 0.250 0.250
Rh: 0.750 0.750 0.750

Output
mass density	9.4	g/cm³
raw total energy	-16.59	eV per cell
energy of formation	-341	meV/atom
offset from the most stable computed form	122.2	meV per atom
space group	F-43m, No. 216

***

# 9
Below is crystalline CaMg2Tl at its relaxed geometry, with properties calculated at the PBE-GGA level.

Cell lengths 5.261, 5.261, 5.222 Å; angles 119.62, 119.62, 90.64 degrees
Sites, in units of the cell vectors:
Ca: 0.000 0.000 0.000
Mg: 0.499 0.501 0.000
Mg: 0.749 0.251 0.500
Tl: 0.250 0.750 0.500

Output
mass density	4.7	g/cm³
raw total energy	-8.25	eV per cell
energy of formation	-173	meV/atom
offset from the most stable computed form	33.3	meV per atom
space group	C2, No. 5

***

# 10
Below is crystalline Ta4Mo at its relaxed geometry, with properties calculated at the PBE-GGA level.

Cell lengths 4.772, 4.772, 4.772 Å; angles 90.00, 90.00, 90.00 degrees
Sites, in units of the cell vectors:
Ta: 0.000 0.000 0.000
Ta: 0.000 0.500 0.500
Ta: 0.500 0.000 0.500
Ta: 0.500 0.500 0.000
Mo: 0.500 0.500 0.500

Output
mass density	12.5	g/cm³
raw total energy	-50.70	eV per cell
energy of formation	1508	meV/atom
offset from the most stable computed form	1601.7	meV per atom
space group	Pm-3m, No. 221

***

# 11
Below is crystalline BeSb2Br at its relaxed geometry, with properties calculated at the PBE-GGA level.

Cell lengths 3.464, 3.464, 8.338 Å; angles 90.00, 90.00, 109.09 degrees
Sites, in units of the cell vectors:
Be: 0.000 0.000 0.000
Sb: 0.500 0.500 0.190
Sb: 0.500 0.500 0.810
Br: 0.000 0.000 0.500

Output
formation energy from raw total energies	204	meV/atom
mass density	5.8	g/cm³
raw total energy	-12.83	eV per cell
offset from the most stable computed form	277.0	meV per atom
space group	Cmmm, No. 65

***

# 12
Below is crystalline SmPu4S5 at its relaxed geometry, with properties calculated at the PBE-GGA level.

Cell lengths 10.502, 10.502, 10.502 Å; angles 158.17, 148.98, 38.26 degrees
Sites, in units of the cell vectors:
Sm: 0.000 0.000 0.000
Pu: 0.200 0.200 0.000
Pu: 0.401 0.401 0.000
Pu: 0.599 0.599 0.000
Pu: 0.800 0.800 0.000
S: 0.102 0.602 0.500
S: 0.301 0.801 0.500
S: 0.500 0.000 0.500
S: 0.699 0.199 0.500
S: 0.898 0.398 0.500

Output
formation energy from raw total energies	-1822	meV/atom
mass density	9.6	g/cm³
raw total energy	-100.90	eV per cell
space group	Immm, No. 71

***

# 13
Below is crystalline Ca2PuThSb4 at its relaxed geometry, with properties calculated at the PBE-GGA level.

Cell lengths 7.768, 4.539, 7.828 Å; angles 90.00, 109.81, 90.00 degrees
Sites, in units of the cell vectors:
Ca: 0.000 0.000 0.000
Ca: 0.000 0.500 0.500
Pu: 0.500 0.000 0.500
Th: 0.500 0.500 0.000
Sb: 0.257 0.000 0.748
Sb: 0.262 0.500 0.259
Sb: 0.738 0.500 0.741
Sb: 0.743 0.000 0.252

Output
formation energy from raw total energies	-835	meV/atom
mass density	6.7	g/cm³
raw total energy	-48.93	eV per cell
space group	P2/m, No. 10

***

# 14
Below is crystalline Pa5SiAs4 at its relaxed geometry, with properties calculated at the PBE-GGA level.

Cell lengths 7.088, 7.088, 7.088 Å; angles 99.59, 99.59, 131.83 degrees
Sites, in units of the cell vectors:
Pa: 0.000 0.000 0.000
Pa: 0.204 0.400 0.604
Pa: 0.400 0.796 0.197
Pa: 0.600 0.204 0.803
Pa: 0.796 0.600 0.396
Si: 0.500 0.500 0.000
As: 0.099 0.699 0.797
As: 0.301 0.099 0.400
As: 0.699 0.901 0.600
As: 0.901 0.301 0.203

Output
formation energy from raw total energies	-937	meV/atom
mass density	10.2	g/cm³
raw total energy	-80.87	eV per cell
space group	I4/m, No. 87

***

# 15
Below is crystalline ScHgI3 at its relaxed geometry, with properties calculated at the PBE-GGA level.

Cell lengths 10.847, 10.847, 7.716 Å; angles 90.00, 90.00, 102.95 degrees
Sites, in units of the cell vectors:
Sc: 0.080 0.601 0.750
Sc: 0.399 0.920 0.750
Sc: 0.601 0.080 0.250
Sc: 0.920 0.399 0.250
Hg: 0.384 0.616 0.750
Hg: 0.436 0.564 0.250
Hg: 0.564 0.436 0.750
Hg: 0.616 0.384 0.250
I: 0.135 0.415 0.003
I: 0.135 0.415 0.497
I: 0.195 0.805 0.511
I: 0.195 0.805 0.989
I: 0.415 0.135 0.503
I: 0.415 0.135 0.997
I: 0.585 0.865 0.003
I: 0.585 0.865 0.497
I: 0.805 0.195 0.011
I: 0.805 0.195 0.489
I: 0.865 0.585 0.503
I: 0.865 0.585 0.997

Output
formation energy from raw total energies	-882	meV/atom
mass density	4.7	g/cm³
raw total energy	-62.78	eV per cell
offset from the most stable computed form	89.8	meV per atom
space group	Cmcm, No. 63

***

# 16
Below is crystalline Cd2MoPt2 at its relaxed geometry, with properties calculated at the PBE-GGA level.

Cell lengths 6.694, 6.694, 4.227 Å; angles 90.00, 90.00, 90.00 degrees
Sites, in units of the cell vectors:
Cd: 0.169 0.331 0.000
Cd: 0.331 0.831 0.000
Cd: 0.669 0.169 0.000
Cd: 0.831 0.669 0.000
Mo: 0.000 0.000 0.500
Mo: 0.500 0.500 0.500
Pt: 0.139 0.639 0.500
Pt: 0.361 0.139 0.500
Pt: 0.639 0.861 0.500
Pt: 0.861 0.361 0.500

Output
mass density	12.5	g/cm³
raw total energy	-48.68	eV per cell
energy of formation	81	meV/atom
offset from the most stable computed form	0.0	meV per atom
space group	P4/mbm, No. 127

***

# 17
Below is crystalline LiCu7O12 at its relaxed geometry, with properties calculated at the PBE-GGA level.

Cell lengths 6.294, 6.294, 6.294 Å; angles 109.47, 109.47, 109.47 degrees
Sites, in units of the cell vectors:
Li: 0.000 0.000 0.000
Cu: 0.000 0.000 0.500
Cu: 0.000 0.500 0.000
Cu: 0.000 0.500 0.500
Cu: 0.500 0.000 0.000
Cu: 0.500 0.000 0.500
Cu: 0.500 0.500 0.000
Cu: 0.500 0.500 0.500
O: 0.139 0.312 0.827
O: 0.173 0.485 0.312
O: 0.173 0.861 0.688
O: 0.312 0.173 0.485
O: 0.312 0.827 0.139
O: 0.485 0.312 0.173
O: 0.515 0.688 0.827
O: 0.688 0.173 0.861
O: 0.688 0.827 0.515
O: 0.827 0.139 0.312
O: 0.827 0.515 0.688
O: 0.861 0.688 0.173

Output
formation energy from raw total energies	-443	meV/atom
mass density	5.6	g/cm³
raw total energy	-98.96	eV per cell
space group	Im-3, No. 204

***

# 18
Below is crystalline Ti3ReTc2 at its relaxed geometry, with properties calculated at the PBE-GGA level.

Cell lengths 3.107, 3.107, 9.337 Å; angles 90.00, 90.00, 90.00 degrees
Sites, in units of the cell vectors:
Ti: 0.000 0.000 0.000
Ti: 0.000 0.000 0.332
Ti: 0.000 0.000 0.668
Re: 0.500 0.500 0.500
Tc: 0.500 0.500 0.166
Tc: 0.500 0.500 0.834

Output
mass density	9.7	g/cm³
raw total energy	-59.61	eV per cell
energy of formation	-458	meV/atom
space group	P4/mmm, No. 123

***

# 19
Below is crystalline PrErGa2 at its relaxed geometry, with properties calculated at the PBE-GGA level.

Cell lengths 4.115, 5.988, 5.988 Å; angles 43.28, 90.00, 90.00 degrees
Sites, in units of the cell vectors:
Pr: 0.000 0.000 0.000
Er: 0.500 0.722 0.722
Ga: 0.000 0.281 0.281
Ga: 0.500 0.428 0.428

Output
mass density	7.3	g/cm³
raw total energy	-17.77	eV per cell
energy of formation	-593	meV/atom
offset from the most stable computed form	0.0	meV per atom
space group	Amm2, No. 38

***

# 20
Below is crystalline CaTiAu at its relaxed geometry, with properties calculated at the PBE-GGA level.

Cell lengths 4.284, 4.284, 7.688 Å; angles 90.00, 90.00, 90.00 degrees
Sites, in units of the cell vectors:
Ca: 0.250 0.250 0.146
Ca: 0.750 0.750 0.854
Ti: 0.250 0.750 0.500
Ti: 0.750 0.250 0.500
Au: 0.250 0.250 0.729
Au: 0.750 0.750 0.271

Output
mass density	6.7	g/cm³
raw total energy	-28.40	eV per cell
energy of formation	-342	meV/atom
space group	P4/nmm, No. 129